Material: ZnFe4Rh5
Method: DFT, PBE-GGA
State: optimized geometry

**Formation energy**: -143 meV per atom
**Space group**: P4/mmm (123)
**Fermi-level density of states**: 5.040 states/eV/f.u.
**VASP energy**: -7.331 eV/atom
**Magnetization**: 17.43 μB/cell

a = 3.013 Å, b = 3.013 Å, c = 15.069 Å
α = 90.00°, β = 90.00°, γ = 90.00°
Each line ends with the local moment (μB).
Fractional coordinates of all 10 atoms:
1 Rh 0.500 0.500 0.103  0.72
2 Rh 0.500 0.500 0.301  1.05
3 Rh 0.500 0.500 0.897  0.72
4 Rh 0.500 0.500 0.500  1.04
5 Rh 0.500 0.500 0.699  1.05
6 Fe 0.000 0.000 0.198  3.22
7 Fe 0.000 0.000 0.600  3.21
8 Fe 0.000 0.000 0.400  3.21
9 Fe 0.000 0.000 0.802  3.22
10 Zn 0.000 0.000 0.000  -0.02